No. 1
The following is a GGA-PBE calculation of an optimized crystal structure of Al4Zn3, from Alexandria.

Results
The energy above the most stable polymorph in this dataset comes out at 69.2 meV/atom.

CIF file:
```
data_Al4Zn3
_chemical_formula_sum 'Al12 Zn9'
_space_group_name_H-M_alt 'R -3 m'
_space_group_IT_number 166
_space_group_name_Hall '-R 3 2"'
_cell_length_a 4.4023
_cell_length_b 4.4023
_cell_length_c 21.4522
_cell_angle_alpha 90.00
_cell_angle_beta 90.00
_cell_angle_gamma 120.00
loop_
_atom_site_label
_atom_site_type_symbol
_atom_site_fract_x
_atom_site_fract_y
_atom_site_fract_z
Al1 Al 0.0000 0.0000 0.1173
Al2 Al 0.0000 0.0000 0.3711
Zn1 Zn 0.0000 0.0000 0.2507
Zn2 Zn 0.0000 0.0000 0.5000
```

---

No. 2
The following is a GGA-PBE calculation of an optimized crystal structure of Al5Zn, from Alexandria.

Results
The energy above the most stable polymorph in this dataset comes out at 32.9 meV/atom.

CIF file:
```
data_Al5Zn
_chemical_formula_sum 'Al10 Zn2'
_space_group_name_H-M_alt 'A m m 2'
_space_group_IT_number 38
_space_group_name_Hall 'A 2 -2'
_cell_length_a 4.464
_cell_length_b 2.896
_cell_length_c 15.451
_cell_angle_alpha 90.00
_cell_angle_beta 90.00
_cell_angle_gamma 90.00
loop_
_atom_site_label
_atom_site_type_symbol
_atom_site_fract_x
_atom_site_fract_y
_atom_site_fract_z
Al1 Al 0.000 0.000 0.000
Al2 Al 0.000 0.000 0.329
Al3 Al 0.500 0.000 0.111
Al4 Al 0.500 0.000 0.442
Al5 Al 0.500 0.000 0.771
Zn1 Zn 0.000 0.000 0.662
```

---

No. 3
The following is a GGA-PBE calculation of an optimized crystal structure of Al3Zn, from Alexandria.

CIF file:
```
data_Al3Zn
_chemical_formula_sum 'Al9 Zn3'
_space_group_name_H-M_alt 'R -3 m'
_space_group_IT_number 166
_space_group_name_Hall '-R 3 2"'
_cell_length_a 9.0076
_cell_length_b 9.0076
_cell_length_c 2.8740
_cell_angle_alpha 90.00
_cell_angle_beta 90.00
_cell_angle_gamma 120.00
loop_
_atom_site_label
_atom_site_type_symbol
_atom_site_fract_x
_atom_site_fract_y
_atom_site_fract_z
Al1 Al 0.0000 0.5000 0.0000
Zn1 Zn 0.0000 0.0000 0.0000
```

---

No. 4
The following is a GGA-PBE calculation of an optimized crystal structure of Al3Zn, from Alexandria.

CIF file:
```
data_Al3Zn
_chemical_formula_sum 'Al6 Zn2'
_space_group_name_H-M_alt 'C 1 2/m 1'
_space_group_IT_number 12
_space_group_name_Hall '-C 2y'
_cell_length_a 9.237
_cell_length_b 2.867
_cell_length_c 5.043
_cell_angle_alpha 90.00
_cell_angle_beta 102.60
_cell_angle_gamma 90.00
loop_
_atom_site_label
_atom_site_type_symbol
_atom_site_fract_x
_atom_site_fract_y
_atom_site_fract_z
Al1 Al 0.000 0.000 0.000
Al2 Al 0.247 0.000 0.747
Zn1 Zn 0.000 0.500 0.500
```

---

No. 5
The following is a GGA-PBE calculation of an optimized crystal structure of Al7Zn, from Alexandria.

CIF file:
```
data_Al7Zn
_chemical_formula_sum 'Al28 Zn4'
_space_group_name_H-M_alt 'F m -3 m'
_space_group_IT_number 225
_space_group_name_Hall '-F 4 2 3'
_cell_length_a 8.062
_cell_length_b 8.062
_cell_length_c 8.062
_cell_angle_alpha 90.00
_cell_angle_beta 90.00
_cell_angle_gamma 90.00
loop_
_atom_site_label
_atom_site_type_symbol
_atom_site_fract_x
_atom_site_fract_y
_atom_site_fract_z
Al1 Al 0.000 0.000 0.000
Al2 Al 0.000 0.250 0.250
Zn1 Zn 0.000 0.000 0.500
```

---

No. 6
The following is a GGA-PBE calculation of an optimized crystal structure of Al4Zn5, from Alexandria.

Results
The energy above the most stable polymorph in this dataset comes out at 0.0 meV/atom.

CIF file:
```
data_Al4Zn5
_chemical_formula_sum 'Al8 Zn10'
_space_group_name_H-M_alt 'I 4/m m m'
_space_group_IT_number 139
_space_group_name_Hall '-I 4 2'
_cell_length_a 8.472
_cell_length_b 8.472
_cell_length_c 3.967
_cell_angle_alpha 90.00
_cell_angle_beta 90.00
_cell_angle_gamma 90.00
loop_
_atom_site_label
_atom_site_type_symbol
_atom_site_fract_x
_atom_site_fract_y
_atom_site_fract_z
Al1 Al 0.000 0.329 0.000
Zn1 Zn 0.000 0.000 0.000
Zn2 Zn 0.166 0.166 0.500
```

---

For the records above, the corresponding magnetization values read 0.00 0.00 0.00 0.00 0.00 0.00 Bohr magnetons per cell.
For the records above, the corresponding E_form values read 0.129 0.040 0.110 0.028 0.008 0.028 eV per atom.
For the records above, the corresponding calculated total energy values read -2.556 -3.292 -3.016 -3.097 -3.426 -2.343 eV/atom.